Density functional theory data (PBE-GGA) for an optimized crystal structure of Pm5PrCd3.

The structure in POSCAR format:
```
Pm5PrCd3
1.0
-3.4252 0.1877 -6.2104
-4.1085 -8.2616 2.0163
-4.1622 8.0882 2.5400
Pm Pr Cd
10 2 6
direct
0.0000 0.6667 0.3333 Pm
0.5000 0.3333 0.6667 Pm
0.0000 0.3333 0.6667 Pm
0.5000 0.6667 0.3333 Pm
0.7500 0.6677 0.6677 Pm
0.7500 0.0000 0.3323 Pm
0.7500 0.3323 0.0000 Pm
0.2500 0.3323 0.3323 Pm
0.2500 0.0000 0.6677 Pm
0.2500 0.6677 0.0000 Pm
0.0000 0.0000 0.0000 Pr
0.5000 0.0000 0.0000 Pr
0.7500 0.3363 0.3363 Cd
0.7500 0.0000 0.6637 Cd
0.7500 0.6636 0.0000 Cd
0.2500 0.6637 0.6637 Cd
0.2500 0.0000 0.3363 Cd
0.2500 0.3364 0.0000 Cd
```

Properties
N(E_F), states/eV/f.u.: 10.36
Calculated formation energy, eV/atom: -0.166
Symmetry: No. 193